Entry 1:
# CuSn2PbS4 (PBE-GGA, relaxed)
data_CuSn2PbS4
_chemical_formula_sum 'Cu2 Sn4 Pb2 S8'
_symmetry_space_group_name_H-M 'P m n 21'
_symmetry_Int_Tables_number 31
_symmetry_space_group_name_Hall 'P 2ac -2'
_cell_length_a 7.8866
_cell_length_b 8.6229
_cell_length_c 5.9586
_cell_angle_alpha 90.00
_cell_angle_beta 90.00
_cell_angle_gamma 90.00
loop_
_atom_site_label
_atom_site_fract_x
_atom_site_fract_y
_atom_site_fract_z
Cu1 0.0000 0.2043 0.0000
Sn1 0.2029 0.6483 0.0100
Pb1 0.0000 0.9073 0.5241
S1 0.0000 0.2469 0.6141
S2 0.0000 0.9386 0.0539
S3 0.2486 0.6667 0.5774
# volume	202.61	Å³/f.u.
# theoretical density	5.22	Mg/m³
# formation energy from raw total energies	-298.6	meV per atom

***

Entry 2:
# CuSnPbS3 (PBE-GGA, relaxed)
data_CuSnPbS3
_chemical_formula_sum 'Cu2 Sn2 Pb2 S6'
_symmetry_space_group_name_H-M 'P 1 21/m 1'
_symmetry_Int_Tables_number 11
_symmetry_space_group_name_Hall '-P 2yb'
_cell_length_a 8.3914
_cell_length_b 3.9194
_cell_length_c 8.5811
_cell_angle_alpha 90.00
_cell_angle_beta 102.80
_cell_angle_gamma 90.00
loop_
_atom_site_label
_atom_site_fract_x
_atom_site_fract_y
_atom_site_fract_z
Cu1 0.0801 0.2500 0.0677
Sn1 0.3391 0.7500 0.3411
Pb1 0.1764 0.2500 0.7185
S1 0.1101 0.2500 0.3579
S2 0.2127 0.7500 0.0168
S3 0.4327 0.7500 0.6704
# volume	137.61	Å³/f.u.
# theoretical density	5.86	Mg/m³
# formation energy from raw total energies	-345.1	meV per atom

***

Entry 3:
# SrCu2PbS4 (PBE-GGA, relaxed)
data_SrCu2PbS4
_chemical_formula_sum 'Sr3 Cu6 Pb3 S12'
_symmetry_space_group_name_H-M 'P 32 2 1'
_symmetry_Int_Tables_number 154
_symmetry_space_group_name_Hall 'P 32 2"'
_cell_length_a 6.4741
_cell_length_b 6.4741
_cell_length_c 15.6574
_cell_angle_alpha 90.00
_cell_angle_beta 90.00
_cell_angle_gamma 120.00
loop_
_atom_site_label
_atom_site_fract_x
_atom_site_fract_y
_atom_site_fract_z
Sr1 0.0000 0.5805 0.3333
Cu1 0.0623 0.6177 0.0871
Pb1 0.0000 0.6948 0.8333
S1 0.0577 0.4641 0.7082
S2 0.1254 0.3704 0.1786
# volume	189.45	Å³/f.u.
# theoretical density	4.82	Mg/m³
# formation energy from raw total energies	-672.7	meV per atom

***

Entry 4:
# TaCuPb2S5 (PBE-GGA, relaxed)
data_TaCuPb2S5
_chemical_formula_sum 'Ta4 Cu4 Pb8 S20'
_symmetry_space_group_name_H-M 'C m c 21'
_symmetry_Int_Tables_number 36
_symmetry_space_group_name_Hall 'C 2c -2'
_cell_length_a 3.7071
_cell_length_b 17.2620
_cell_length_c 12.5688
_cell_angle_alpha 90.00
_cell_angle_beta 90.00
_cell_angle_gamma 90.00
loop_
_atom_site_label
_atom_site_fract_x
_atom_site_fract_y
_atom_site_fract_z
Ta1 0.0000 0.1991 0.0000
Cu1 0.0000 0.4194 0.4264
Pb1 0.0000 0.1099 0.2952
Pb2 0.0000 0.1102 0.6438
S1 0.0000 0.0636 0.0340
S2 0.0000 0.2806 0.6342
S3 0.0000 0.2950 0.3657
S4 0.0000 0.3493 0.9844
S5 0.0000 0.4930 0.2754
# volume	201.08	Å³/f.u.
# theoretical density	6.77	Mg/m³
# formation energy from raw total energies	-608.2	meV per atom

***

Entry 5:
# Tb2CuPbS4 (PBE-GGA, relaxed)
data_Tb2CuPbS4
_chemical_formula_sum 'Tb8 Cu4 Pb4 S16'
_symmetry_space_group_name_H-M 'C m c m'
_symmetry_Int_Tables_number 63
_symmetry_space_group_name_Hall '-C 2c 2'
_cell_length_a 3.8918
_cell_length_b 13.2053
_cell_length_c 13.8063
_cell_angle_alpha 90.00
_cell_angle_beta 90.00
_cell_angle_gamma 90.00
loop_
_atom_site_label
_atom_site_fract_x
_atom_site_fract_y
_atom_site_fract_z
Tb1 0.0000 0.1306 0.0613
Cu1 0.0000 0.3381 0.7500
Pb1 0.0000 0.3814 0.2500
S1 0.0000 0.0589 0.2500
S2 0.0000 0.2270 0.6168
S3 0.0000 0.5000 0.0000
# volume	177.38	Å³/f.u.
# theoretical density	6.71	Mg/m³
# formation energy from raw total energies	-1322.9	meV per atom

***

Entry 6:
# Cu2TePbS (PBE-GGA, relaxed)
data_Cu2TePbS
_chemical_formula_sum 'Cu4 Te2 Pb2 S2'
_symmetry_space_group_name_H-M 'P 1 21/m 1'
_symmetry_Int_Tables_number 11
_symmetry_space_group_name_Hall '-P 2yb'
_cell_length_a 6.9815
_cell_length_b 4.1434
_cell_length_c 8.1349
_cell_angle_alpha 90.00
_cell_angle_beta 103.69
_cell_angle_gamma 90.00
loop_
_atom_site_label
_atom_site_fract_x
_atom_site_fract_y
_atom_site_fract_z
Cu1 0.0132 0.2500 0.1917
Cu2 0.0453 0.7500 0.4080
Te1 0.2107 0.2500 0.9306
Pb1 0.4190 0.7500 0.7236
S1 0.2273 0.2500 0.4499
# volume	114.32	Å³/f.u.
# theoretical density	7.18	Mg/m³
# formation energy from raw total energies	-176.9	meV per atom

***

Repeat the fourth record exactly.
# TaCuPb2S5 (PBE-GGA, relaxed)
data_TaCuPb2S5
_chemical_formula_sum 'Ta4 Cu4 Pb8 S20'
_symmetry_space_group_name_H-M 'C m c 21'
_symmetry_Int_Tables_number 36
_symmetry_space_group_name_Hall 'C 2c -2'
_cell_length_a 3.7071
_cell_length_b 17.2620
_cell_length_c 12.5688
_cell_angle_alpha 90.00
_cell_angle_beta 90.00
_cell_angle_gamma 90.00
loop_
_atom_site_label
_atom_site_fract_x
_atom_site_fract_y
_atom_site_fract_z
Ta1 0.0000 0.1991 0.0000
Cu1 0.0000 0.4194 0.4264
Pb1 0.0000 0.1099 0.2952
Pb2 0.0000 0.1102 0.6438
S1 0.0000 0.0636 0.0340
S2 0.0000 0.2806 0.6342
S3 0.0000 0.2950 0.3657
S4 0.0000 0.3493 0.9844
S5 0.0000 0.4930 0.2754
# volume	201.08	Å³/f.u.
# theoretical density	6.77	Mg/m³
# formation energy from raw total energies	-608.2	meV per atom

***

What did the first record say?
# CuSn2PbS4 (PBE-GGA, relaxed)
data_CuSn2PbS4
_chemical_formula_sum 'Cu2 Sn4 Pb2 S8'
_symmetry_space_group_name_H-M 'P m n 21'
_symmetry_Int_Tables_number 31
_symmetry_space_group_name_Hall 'P 2ac -2'
_cell_length_a 7.8866
_cell_length_b 8.6229
_cell_length_c 5.9586
_cell_angle_alpha 90.00
_cell_angle_beta 90.00
_cell_angle_gamma 90.00
loop_
_atom_site_label
_atom_site_fract_x
_atom_site_fract_y
_atom_site_fract_z
Cu1 0.0000 0.2043 0.0000
Sn1 0.2029 0.6483 0.0100
Pb1 0.0000 0.9073 0.5241
S1 0.0000 0.2469 0.6141
S2 0.0000 0.9386 0.0539
S3 0.2486 0.6667 0.5774
# volume	202.61	Å³/f.u.
# theoretical density	5.22	Mg/m³
# formation energy from raw total energies	-298.6	meV per atom

***

Question: Which formula does entry 3 have?
Answer: SrCu2PbS4

***

Question: Which value of volume does entry 5 give?
Answer: 177.38 Å³/f.u.